A plane-wave DFT calculation with PBE was carried out for crystalline PmCo2Sn at its relaxed geometry.

Cell lengths 3.373, 4.559, 4.559 Å; angles 90.00, 90.00, 90.00 degrees
Site moments in Bohr magnetons follow the coordinates.
Fractional positions:
Co: 0.000 0.500 0.000  0.62
Pm: 0.500 0.500 0.500  -0.12
Sn: 0.500 0.000 0.000  0.00
Co: 0.000 0.000 0.500  0.62

Calculated values
DOS(E_F)	2.12	states/eV per cell
calculated formation energy	-41	meV per atom

---

A plane-wave DFT calculation with PBE was carried out for crystalline Pm7Co2Sn at its relaxed geometry.

Cell lengths 4.866, 4.866, 12.167 Å; angles 101.54, 101.54, 90.00 degrees
Fractional positions:
Pm: 0.607 0.107 0.213
Pm: 0.250 0.750 0.500
Sn: 0.000 0.000 0.000
Pm: 0.107 0.607 0.213
Co: 0.673 0.673 0.346
Co: 0.327 0.327 0.654
Pm: 0.500 0.500 0.000
Pm: 0.893 0.393 0.787
Pm: 0.750 0.250 0.500
Pm: 0.393 0.893 0.787

Calculated values
DOS(E_F)	10.71	states/eV per cell
calculated formation energy	-146	meV per atom

---

A plane-wave DFT calculation with PBE was carried out for crystalline Pm7Co2Sn2 at its relaxed geometry.

Cell lengths 6.932, 7.107, 6.932 Å; angles 90.00, 108.65, 90.00 degrees
Fractional positions:
Sn: 0.822 0.500 0.822
Pm: 0.500 0.230 0.500
Pm: 0.500 0.244 0.000
Sn: 0.178 0.500 0.178
Co: 0.712 0.000 0.288
Pm: 0.500 0.756 0.000
Pm: 0.500 0.770 0.500
Pm: 0.000 0.000 0.000
Pm: 0.000 0.756 0.500
Pm: 0.000 0.244 0.500
Co: 0.288 0.000 0.712

Calculated values
DOS(E_F)	11.30	states/eV per cell
calculated formation energy	-238	meV per atom

---

A plane-wave DFT calculation with PBE was carried out for crystalline Pm2CoSn at its relaxed geometry.

Cell lengths 4.230, 4.877, 6.034 Å; angles 113.80, 110.52, 90.00 degrees
Fractional positions:
Pm: 0.166 0.175 0.332
Co: 0.500 0.009 0.000
Sn: 0.500 0.509 0.000
Pm: 0.834 0.843 0.668

Calculated values
DOS(E_F)	3.32	states/eV per cell
calculated formation energy	-274	meV per atom

---

A plane-wave DFT calculation with PBE was carried out for crystalline Pm12CoSn6 at its relaxed geometry.

Cell lengths 8.741, 8.741, 8.741 Å; angles 98.95, 98.95, 98.95 degrees
Fractional positions:
Sn: 0.121 0.650 0.313
Pm: 0.427 0.562 0.196
Pm: 0.687 0.951 0.001
Pm: 0.999 0.313 0.049
Sn: 0.650 0.313 0.121
Pm: 0.313 0.049 0.999
Pm: 0.951 0.001 0.687
Pm: 0.001 0.687 0.951
Sn: 0.879 0.350 0.687
Pm: 0.049 0.999 0.313
Co: 0.000 0.000 0.000
Pm: 0.573 0.438 0.804
Pm: 0.804 0.573 0.438
Sn: 0.687 0.879 0.350
Sn: 0.313 0.121 0.650
Pm: 0.196 0.427 0.562
Pm: 0.438 0.804 0.573
Sn: 0.350 0.687 0.879
Pm: 0.562 0.196 0.427

Calculated values
DOS(E_F)	20.77	states/eV per cell
calculated formation energy	-376	meV per atom

---

A plane-wave DFT calculation with PBE was carried out for crystalline PmCo2Sn8 at its relaxed geometry.

Cell lengths 4.871, 7.671, 7.671 Å; angles 113.58, 93.27, 93.27 degrees
Fractional positions:
Sn: 0.720 0.391 0.391
Sn: 0.897 0.657 0.940
Sn: 0.103 0.343 0.060
Sn: 0.897 0.940 0.657
Co: 0.000 0.324 0.676
Co: 0.000 0.676 0.324
Pm: 0.500 0.000 0.000
Sn: 0.500 0.737 0.263
Sn: 0.280 0.609 0.609
Sn: 0.500 0.263 0.737
Sn: 0.103 0.060 0.343

Calculated values
DOS(E_F)	7.42	states/eV per cell
calculated formation energy	-116	meV per atom

---

A plane-wave DFT calculation with PBE was carried out for crystalline Pm3CoSn at its relaxed geometry.

Cell lengths 5.219, 5.219, 5.219 Å; angles 90.00, 90.00, 90.00 degrees
Fractional positions:
Sn: 0.500 0.500 0.500
Pm: 0.500 0.000 0.000
Co: 0.000 0.000 0.000
Pm: 0.000 0.500 0.000
Pm: 0.000 0.000 0.500

Calculated values
DOS(E_F)	3.85	states/eV per cell
calculated formation energy	-294	meV per atom

---

A plane-wave DFT calculation with PBE was carried out for crystalline Pm4CoSn7 at its relaxed geometry.

Cell lengths 4.676, 8.809, 10.024 Å; angles 64.09, 76.51, 74.61 degrees
Fractional positions:
Sn: 0.500 0.000 0.000
Sn: 0.213 0.127 0.447
Pm: 0.699 0.686 0.916
Sn: 0.787 0.873 0.553
Sn: 0.354 0.576 0.716
Sn: 0.080 0.676 0.163
Pm: 0.301 0.314 0.084
Sn: 0.920 0.324 0.837
Pm: 0.568 0.219 0.645
Sn: 0.646 0.424 0.284
Pm: 0.432 0.781 0.355
Co: 0.000 0.000 0.000

Calculated values
DOS(E_F)	7.91	states/eV per cell
calculated formation energy	-352	meV per atom

---

A plane-wave DFT calculation with PBE was carried out for crystalline Pm2CoSn2 at its relaxed geometry.

Cell lengths 4.475, 6.039, 10.142 Å; angles 88.42, 77.25, 68.25 degrees
Fractional positions:
Co: 0.610 0.112 0.667
Co: 0.390 0.888 0.333
Pm: 0.934 0.255 0.877
Sn: 0.888 0.778 0.445
Pm: 0.336 0.660 0.668
Pm: 0.066 0.745 0.123
Sn: 0.112 0.222 0.555
Sn: 0.357 0.162 0.124
Pm: 0.664 0.340 0.332
Sn: 0.643 0.838 0.876

Calculated values
DOS(E_F)	7.33	states/eV per cell
calculated formation energy	-580	meV per atom

---

A plane-wave DFT calculation with PBE was carried out for crystalline Pm2CoSn6 at its relaxed geometry.

Cell lengths 4.443, 4.451, 11.930 Å; angles 90.00, 100.73, 90.00 degrees
Fractional positions:
Sn: 0.221 0.500 0.442
Co: 0.773 0.500 0.547
Sn: 0.596 0.000 0.193
Sn: 0.721 0.000 0.442
Sn: 0.878 0.500 0.756
Pm: 0.332 0.000 0.664
Sn: 0.096 0.500 0.192
Sn: 0.460 0.500 0.921
Pm: 0.991 0.000 0.982

Calculated values
DOS(E_F)	5.21	states/eV per cell
calculated formation energy	-436	meV per atom

---

A plane-wave DFT calculation with PBE was carried out for crystalline Pm5CoSn at its relaxed geometry.

Cell lengths 6.498, 6.498, 11.469 Å; angles 75.13, 75.13, 64.33 degrees
Fractional positions:
Pm: 0.440 0.794 0.960
Pm: 0.589 0.981 0.640
Co: 0.000 0.000 0.000
Pm: 0.560 0.206 0.040
Sn: 0.472 0.528 0.250
Pm: 0.022 0.978 0.750
Pm: 0.794 0.440 0.460
Pm: 0.206 0.560 0.540
Sn: 0.528 0.472 0.750
Pm: 0.981 0.589 0.140
Pm: 0.019 0.411 0.860
Pm: 0.978 0.022 0.250
Pm: 0.411 0.019 0.360
Co: 0.000 0.000 0.500

Calculated values
DOS(E_F)	14.15	states/eV per cell
calculated formation energy	-169	meV per atom

---

A plane-wave DFT calculation with PBE was carried out for crystalline Pm3CoSn3 at its relaxed geometry.

Cell lengths 4.510, 6.124, 14.447 Å; angles 84.55, 81.02, 68.39 degrees
Fractional positions:
Pm: 0.256 0.248 0.240
Sn: 0.127 0.824 0.923
Pm: 0.403 0.274 0.919
Sn: 0.873 0.176 0.077
Co: 0.246 0.899 0.610
Pm: 0.521 0.342 0.616
Pm: 0.597 0.726 0.081
Pm: 0.479 0.658 0.384
Sn: 0.157 0.225 0.462
Sn: 0.843 0.775 0.538
Pm: 0.744 0.752 0.760
Sn: 0.963 0.832 0.242
Sn: 0.037 0.168 0.758
Co: 0.754 0.101 0.390

Calculated values
DOS(E_F)	14.20	states/eV per cell
calculated formation energy	-627	meV per atom

---

- What is the calculated formation energy in the sixth record?
  -116 meV per atom

---

- What is the calculated formation energy in the third record?
  -238 meV per atom